Material: LiCoW2
Method: DFT, GGA-PBE
State: optimized geometry

```
data_LiCoW2
_space_group_name_H-M_alt 'P 1'
_space_group_IT_number 1
_space_group_name_Hall 'P 1'
_cell_length_a 4.785
_cell_length_b 4.785
_cell_length_c 4.785
_cell_angle_alpha 134.68
_cell_angle_beta 134.68
_cell_angle_gamma 66.03
loop_
_atom_site_label
_atom_site_type_symbol
_atom_site_fract_x
_atom_site_fract_y
_atom_site_fract_z
Co1 Co 0.500 0.500 0.000
Li1 Li 0.750 0.250 0.500
W1 W 0.000 0.000 0.000
W2 W 0.250 0.750 0.500
```

Values from the calculation:
* calculated total energy: -8.2549 eV/atom
* formation energy: 0.48 eV/atom
* space group: No. 119
* relative energy among the computed polymorphs: 186.1 meV per atom